Entry 1:
Below is Er8Zn2Fe after structural relaxation, with properties calculated at the PBE level.

Results
Formation energy ... -0.10 eV per atom

abc: 17.058 5.139 6.659
angles: 90.00 108.74 90.00
Space group C2/m (No. 12)
Symmetry-distinct sites (fractional):
Er  0.025  0.000  0.291
Er  0.090  0.500  0.927
Er  0.157  0.500  0.462
Er  0.198  0.000  0.804
Zn  0.184  0.000  0.214
Fe  0.000  0.500  0.500


Entry 2:
Below is Fe2PdPb after structural relaxation, with properties calculated at the PBE level.

Results
Formation energy ... 0.52 eV per atom

abc: 3.840 3.840 19.223
angles: 90.00 90.00 90.00
Space group I-42d (No. 122)
Symmetry-distinct sites (fractional):
Fe  0.230  0.250  0.125
Pd  0.000  0.000  0.000
Pb  0.000  0.000  0.500


Entry 3:
Below is FeP2 after structural relaxation, with properties calculated at the PBE level.

Results
Formation energy ... -0.10 eV per atom

abc: 5.492 6.778 4.677
angles: 90.00 90.00 90.00
Space group Cmcm (No. 63)
Symmetry-distinct sites (fractional):
Fe  0.000  0.099  0.250
P  0.190  0.194  0.750


Entry 4:
Below is MgH3Br after structural relaxation, with properties calculated at the PBE level.

Results
Polymorph energy (0 for the lowest one) ... 374 meV per atom

abc: 4.056 4.056 4.056
angles: 90.00 90.00 90.00
Space group Pm-3m (No. 221)
Symmetry-distinct sites (fractional):
Mg  0.000  0.000  0.000
H  0.000  0.500  0.500
Br  0.500  0.500  0.500


no.,calculated total energy (eV/cell)
1,-97.29
2,-94.93
3,-78.34
4,-8.65